[1]
DFT (PBE) results for a relaxed structure of Mg2HIrRu.

Lattice parameters (Å, degrees): 5.0567 5.0567 4.6066 90.00 90.00 90.00
Fractional positions:
Mg 0.0000 0.5000 0.0000
Mg 0.5000 0.0000 0.0000
H 0.0000 0.0000 0.5000
Ir 0.5000 0.5000 0.0000
Ru 0.5000 0.5000 0.5000

Properties
The space-group type is No. 123. The calculation puts the energy above the most stable polymorph in this dataset at 5.693 eV/f.u. Its density of states at the Fermi level is 1.008 states/eV per atom.

***

[2]
DFT (PBE) results for a relaxed structure of Hg2BrCl.

Lattice parameters (Å, degrees): 4.2373 4.2373 8.1307 90.00 90.00 120.91
Fractional positions:
Hg 0.0000 0.0000 0.2453
Hg 0.0000 0.0000 0.7547
Br 0.5000 0.5000 0.5000
Cl 0.5000 0.5000 0.0000

Properties
The space-group type is No. 65. The calculation puts the energy above the most stable polymorph in this dataset at 0.705 eV/f.u. The uncorrected formation energy comes out at -0.17 eV/atom. Its density of states at the Fermi level is 0.685 states/eV per atom.